{"formula": "Ho5Er3Th3", "functional": "PBE-GGA", "state": "optimized geometry", "lattice_angstrom": [[11.1314, 0.0000, 0.0000], [-5.5657, 9.6400, 0.0000], [0.0000, 0.0000, 3.4045]], "species": ["Ho", "Ho", "Ho", "Ho", "Ho", "Er", "Er", "Er", "Th", "Th", "Th"], "fractional_positions": [[0.0000, 0.8390, 0.0000], [0.1610, 0.1610, 0.0000], [0.3333, 0.6667, 0.0000], [0.6667, 0.3333, 0.0000], [0.8390, 0.0000, 0.0000], [0.0000, 0.5919, 0.5000], [0.4081, 0.4081, 0.5000], [0.5919, 0.0000, 0.5000], [0.0000, 0.3385, 0.0000], [0.3385, 0.0000, 0.0000], [0.6615, 0.6615, 0.0000]], "de_polymorph_mev_per_atom": 0, "dos_at_fermi_per_ev_cell": 15.403, "m_tot_mub_per_fu": 0.00, "e_form_ev_per_fu": 4.279}